(1)
# Gd3HAu | Alexandria | PBE | relaxed
# - Uncorrected energy: -10.1559 eV per atom
# - Crystal system: cubic
data_Gd3HAu
_chemical_formula_sum 'Gd3 H1 Au1'
_cell_length_a 4.7989
_cell_length_b 4.7989
_cell_length_c 4.7989
_cell_angle_alpha 90.00
_cell_angle_beta 90.00
_cell_angle_gamma 90.00
_space_group_name_H-M_alt 'P m -3 m'
_space_group_IT_number 221
_space_group_name_Hall '-P 4 2 3'
loop_
_atom_site_label
_atom_site_fract_x
_atom_site_fract_y
_atom_site_fract_z
Gd1 0.0000 0.0000 0.5000
H1 0.0000 0.0000 0.0000
Au1 0.5000 0.5000 0.5000

(2)
# Sm3ThRu4 | Alexandria | PBE | relaxed
# - Uncorrected energy: -7.6010 eV per atom
# - Crystal system: tetragonal
data_Sm3ThRu4
_chemical_formula_sum 'Sm6 Th2 Ru8'
_cell_length_a 4.9442
_cell_length_b 4.9442
_cell_length_c 13.9284
_cell_angle_alpha 90.00
_cell_angle_beta 90.00
_cell_angle_gamma 90.00
_space_group_name_H-M_alt 'I 4/m m m'
_space_group_IT_number 139
_space_group_name_Hall '-I 4 2'
loop_
_atom_site_label
_atom_site_fract_x
_atom_site_fract_y
_atom_site_fract_z
Sm1 0.0000 0.0000 0.0000
Sm2 0.0000 0.0000 0.2472
Th1 0.0000 0.0000 0.5000
Ru1 0.0000 0.5000 0.1199